# PBE Li6ZnSn5, optimized geometry
# DFT formation energy = -3.4 eV/f.u.
data_Li6ZnSn5
_space_group_name_H-M_alt 'P 1'
_space_group_IT_number 1
_space_group_name_Hall 'P 1'
_cell_length_a 4.8502
_cell_length_b 6.4975
_cell_length_c 7.7581
_cell_angle_alpha 90.00
_cell_angle_beta 71.78
_cell_angle_gamma 90.00
loop_
_atom_site_label
_atom_site_type_symbol
_atom_site_fract_x
_atom_site_fract_y
_atom_site_fract_z
Zn1 Zn 0.0000 0.0000 0.0000
Sn1 Sn 0.6691 0.5000 0.6618
Sn2 Sn 0.3348 0.0000 0.3303
Sn3 Sn 0.0000 0.5000 0.0000
Sn4 Sn 0.6652 0.0000 0.6697
Sn5 Sn 0.3309 0.5000 0.3382
Li1 Li 0.8390 0.7579 0.3221
Li2 Li 0.8389 0.2421 0.3221
Li3 Li 0.5000 0.2419 0.0000
Li4 Li 0.5000 0.7581 0.0000
Li5 Li 0.1611 0.7579 0.6779
Li6 Li 0.1610 0.2421 0.6779

---

# PBE Tm6GaS5, optimized geometry
# ΔE_f (raw) = -1.723 eV/atom
data_Tm6GaS5
_space_group_name_H-M_alt 'P 1'
_space_group_IT_number 1
_space_group_name_Hall 'P 1'
_cell_length_a 6.7443
_cell_length_b 6.7443
_cell_length_c 6.7438
_cell_angle_alpha 99.58
_cell_angle_beta 99.58
_cell_angle_gamma 119.72
loop_
_atom_site_label
_atom_site_type_symbol
_atom_site_fract_x
_atom_site_fract_y
_atom_site_fract_z
S1 S 0.8318 0.1682 0.5000
S2 S 0.6664 0.3336 0.0000
S3 S 0.5000 0.5000 0.5000
S4 S 0.3336 0.6664 0.0000
S5 S 0.1682 0.8318 0.5000
Tm1 Tm 0.9174 0.5845 0.7510
Tm2 Tm 0.4155 0.0826 0.2490
Tm3 Tm 0.7507 0.7507 0.2491
Tm4 Tm 0.2493 0.2493 0.7509
Tm5 Tm 0.5845 0.9174 0.7510
Tm6 Tm 0.0826 0.4155 0.2490
Ga1 Ga 0.0000 0.0000 0.0000

---

# PBE CeLu2Au, optimized geometry
# DFT formation energy = -0.8 eV/f.u.
data_CeLu2Au
_space_group_name_H-M_alt 'P 1'
_space_group_IT_number 1
_space_group_name_Hall 'P 1'
_cell_length_a 4.5488
_cell_length_b 4.7230
_cell_length_c 4.7230
_cell_angle_alpha 90.00
_cell_angle_beta 90.00
_cell_angle_gamma 90.00
loop_
_atom_site_label
_atom_site_type_symbol
_atom_site_fract_x
_atom_site_fract_y
_atom_site_fract_z
Lu1 Lu 0.0000 0.0000 0.5000
Lu2 Lu 0.0000 0.5000 0.0000
Au1 Au 0.5000 0.0000 0.0000
Ce1 Ce 0.5000 0.5000 0.5000

---

# PBE TlInBr, optimized geometry
# ΔE_f (raw) = -0.302 eV/atom
data_TlInBr
_space_group_name_H-M_alt 'P 1'
_space_group_IT_number 1
_space_group_name_Hall 'P 1'
_cell_length_a 6.3668
_cell_length_b 6.3668
_cell_length_c 6.3668
_cell_angle_alpha 143.01
_cell_angle_beta 143.29
_cell_angle_gamma 53.11
loop_
_atom_site_label
_atom_site_type_symbol
_atom_site_fract_x
_atom_site_fract_y
_atom_site_fract_z
Tl1 Tl 0.3250 0.3250 0.0000
Br1 Br 0.0104 0.0104 0.0000
In1 In 0.6646 0.6646 0.0000

---

# PBE PuTlCl4, optimized geometry
# ΔE_f (raw) = -1.563 eV/atom
data_PuTlCl4
_space_group_name_H-M_alt 'P 1'
_space_group_IT_number 1
_space_group_name_Hall 'P 1'
_cell_length_a 6.9046
_cell_length_b 8.2270
_cell_length_c 8.3218
_cell_angle_alpha 113.82
_cell_angle_beta 107.88
_cell_angle_gamma 102.59
loop_
_atom_site_label
_atom_site_type_symbol
_atom_site_fract_x
_atom_site_fract_y
_atom_site_fract_z
Pu1 Pu 0.2320 0.9820 0.9640
Pu2 Pu 0.7680 0.0180 0.0360
Tl1 Tl 0.3871 0.6371 0.2742
Tl2 Tl 0.6129 0.3629 0.7258
Cl1 Cl 0.0056 0.2092 0.8866
Cl2 Cl 0.8011 0.7436 0.6865
Cl3 Cl 0.3810 0.6774 0.8866
Cl4 Cl 0.3853 0.9428 0.6865
Cl5 Cl 0.6147 0.0572 0.3135
Cl6 Cl 0.6190 0.3226 0.1134
Cl7 Cl 0.1989 0.2564 0.3135
Cl8 Cl 0.9944 0.7908 0.1134

---

# PBE Pr3Dy4Ag, optimized geometry
# DFT formation energy = -0.5 eV/f.u.
data_Pr3Dy4Ag
_space_group_name_H-M_alt 'P 1'
_space_group_IT_number 1
_space_group_name_Hall 'P 1'
_cell_length_a 3.6291
_cell_length_b 3.6291
_cell_length_c 19.1346
_cell_angle_alpha 90.00
_cell_angle_beta 90.00
_cell_angle_gamma 90.00
loop_
_atom_site_label
_atom_site_type_symbol
_atom_site_fract_x
_atom_site_fract_y
_atom_site_fract_z
Pr1 Pr 0.5000 0.5000 0.2316
Pr2 Pr 0.5000 0.5000 0.5000
Pr3 Pr 0.5000 0.5000 0.7684
Ag1 Ag 0.5000 0.5000 0.0000
Dy1 Dy 0.0000 0.0000 0.9040
Dy2 Dy 0.0000 0.0000 0.0960
Dy3 Dy 0.0000 0.0000 0.3656
Dy4 Dy 0.0000 0.0000 0.6344